Here is crystalline ReMoW at its relaxed geometry from Alexandria via LeMat-Bulk. Energies are from GGA-PBE.

a = 2.8250 Å, b = 2.8250 Å, c = 6.8737 Å
α = 90.00°, β = 90.00°, γ = 120.00°
Space group P3m1 (No. 156)
Unique sites:
Re 0.0000 0.0000 0.0000
Mo 0.3333 0.6667 0.6773
W 0.6667 0.3333 0.3293

Calculated values
- Energy above the lowest structure with this stoichiometry: 230 meV/atom
- Calculated formation energy: 283 meV per atom
- Calculated volume: 48 Å³/cell
- D(E_F): 1.3551 states/eV per atom

***

Here is crystalline CeBSb at its relaxed geometry from Alexandria via LeMat-Bulk. Energies are from GGA-PBE.

a = 7.719 Å, b = 3.182 Å, c = 11.214 Å
α = 90.00°, β = 107.52°, γ = 90.00°
Space group C2/m (No. 12)
Unique sites:
Ce 0.064 0.000 0.157
B 0.216 0.500 0.996
Sb 0.041 0.500 0.631

Calculated values
- Formation energy (no corrections): -356 meV/atom
- Calculated volume: 263 Å³/cell
- D(E_F): 1.1396 states/eV per atom

***

Here is crystalline Ba6Hg2IrI3 at its relaxed geometry from Alexandria via LeMat-Bulk. Energies are from GGA-PBE.

a = 8.335 Å, b = 14.421 Å, c = 9.218 Å
α = 90.00°, β = 107.53°, γ = 90.00°
Space group C2/m (No. 12)
Unique sites:
Ba 0.220 0.150 0.209
Ba 0.230 0.000 0.791
Hg 0.000 0.333 0.000
Ir 0.000 0.000 0.000
I 0.000 0.168 0.500
I 0.000 0.500 0.500

Calculated values
- Formation energy (no corrections): -889 meV/atom
- Calculated volume: 1057 Å³/cell
- D(E_F): 0.5305 states/eV per atom